## YHo2ZnC (GGA-PBE)

Data for a relaxed structure of YHo2ZnC.

- Energy relative to the elements: -1.24 eV per formula unit

abc: 4.852 4.852 4.899
angles: 90.00 90.00 90.00
Space group P4/mmm (No. 123)
Symmetry-distinct sites (fractional):
Y (0.000, 0.000, 0.000) (multiplicity 1)
Ho (0.000, 0.500, 0.500) (multiplicity 2)
Zn (0.500, 0.500, 0.000) (multiplicity 1)
C (0.000, 0.000, 0.500) (multiplicity 1)

## Ho2ZnC (GGA-PBE)

Data for a relaxed structure of Ho2ZnC.

- Distance to the lowest polymorph of the same formula: 24 meV/atom
- Energy relative to the elements: -0.95 eV per formula unit

abc: 3.698 12.722 6.402
angles: 90.00 90.00 90.00
Space group Cmcm (No. 63)
Symmetry-distinct sites (fractional):
Ho (0.000, 0.144, 0.000) (multiplicity 8)
Zn (0.000, 0.491, 0.250) (multiplicity 4)
C (0.000, 0.310, 0.250) (multiplicity 4)

## Ho2ZnC (GGA-PBE)

Data for a relaxed structure of Ho2ZnC.

- Distance to the lowest polymorph of the same formula: 0 meV/atom
- Energy relative to the elements: -1.04 eV per formula unit

abc: 3.6055 3.6055 22.0411
angles: 90.00 90.00 120.00
Space group R-3m (No. 166, hexagonal axes)
Symmetry-distinct sites (fractional):
Ho (0.0000, 0.0000, 0.2273) (multiplicity 6)
Zn (0.0000, 0.0000, 0.0000) (multiplicity 3)
C (0.0000, 0.0000, 0.5000) (multiplicity 3)

## Ho8ZnC4 (GGA-PBE)

Data for a relaxed structure of Ho8ZnC4.

- Energy relative to the elements: -3.06 eV per formula unit

abc: 17.428 3.610 12.073
angles: 90.00 133.00 90.00
Space group C2/m (No. 12)
Symmetry-distinct sites (fractional):
Ho (0.044, 0.000, 0.224) (multiplicity 4)
Ho (0.142, 0.500, 0.099) (multiplicity 4)
Ho (0.157, 0.500, 0.834) (multiplicity 4)
Ho (0.193, 0.500, 0.554) (multiplicity 4)
Zn (0.000, 0.000, 0.500) (multiplicity 2)
C (0.152, 0.000, 0.969) (multiplicity 4)
C (0.173, 0.500, 0.331) (multiplicity 4)

## HoZnC (GGA-PBE)

Data for a relaxed structure of HoZnC.

- Energy relative to the elements: 1.10 eV per formula unit

abc: 4.076 4.076 11.922
angles: 90.00 90.00 90.00
Space group I4/mmm (No. 139)
Symmetry-distinct sites (fractional):
Ho (0.000, 0.000, 0.129) (multiplicity 4)
Zn (0.000, 0.000, 0.396) (multiplicity 4)
C (0.000, 0.500, 0.000) (multiplicity 4)

## HoZr5C6 (GGA-PBE)

Data for a relaxed structure of HoZr5C6.

- Energy relative to the elements: -8.11 eV per formula unit

abc: 5.838 10.122 5.841
angles: 90.00 109.44 90.00
Space group C2/m (No. 12)
Symmetry-distinct sites (fractional):
Ho (0.000, 0.000, 0.000) (multiplicity 2)
Zr (0.000, 0.167, 0.500) (multiplicity 4)
Zr (0.000, 0.333, 0.000) (multiplicity 4)
Zr (0.000, 0.500, 0.500) (multiplicity 2)
C (0.244, 0.329, 0.745) (multiplicity 8)
C (0.244, 0.500, 0.255) (multiplicity 4)

Total moment (computed, μB/f.u.): 0.75, 0.00, 0.94, 0.00, 0.00, 0.00